Entry 1:
VASP calculation (PBE-GGA) on an optimized crystal structure of Dy12Sn3O5.

Unit cell a=13.486 b=13.486 c=13.486 alpha=109.47 beta=109.47 gamma=109.47
Sites, in units of the cell vectors:
Sn: 0.750 0.375 0.125
Sn: 0.875 0.750 0.125
Sn: 0.375 0.750 0.625
Sn: 0.250 0.125 0.375
Sn: 0.875 0.125 0.250
Sn: 0.375 0.625 0.250
Sn: 0.625 0.375 0.750
Sn: 0.125 0.875 0.750
Sn: 0.750 0.875 0.625
Sn: 0.625 0.250 0.375
Sn: 0.125 0.250 0.875
Sn: 0.250 0.625 0.875
O: 0.125 0.375 0.250
O: 0.000 0.500 0.000
O: 0.000 0.000 0.000
O: 0.375 0.250 0.125
O: 0.500 0.000 0.500
O: 0.500 0.500 0.000
O: 0.125 0.750 0.375
O: 0.750 0.125 0.875
O: 0.750 0.625 0.375
O: 0.375 0.125 0.750
O: 0.625 0.875 0.250
O: 0.500 0.500 0.500
O: 0.500 0.000 0.000
O: 0.000 0.000 0.500
O: 0.250 0.375 0.625
O: 0.250 0.875 0.125
O: 0.000 0.500 0.500
O: 0.875 0.250 0.625
O: 0.625 0.750 0.875
O: 0.875 0.625 0.750
Dy: 0.696 0.107 0.008
Dy: 0.312 0.508 0.401
Dy: 0.992 0.393 0.304
Dy: 0.508 0.196 0.107
Dy: 0.589 0.696 0.688
Dy: 0.992 0.599 0.188
Dy: 0.312 0.804 0.411
Dy: 0.099 0.911 0.107
Dy: 0.599 0.992 0.688
Dy: 0.696 0.589 0.188
Dy: 0.804 0.492 0.393
Dy: 0.812 0.901 0.008
Dy: 0.107 0.696 0.508
Dy: 0.393 0.401 0.089
Dy: 0.089 0.901 0.393
Dy: 0.411 0.107 0.599
Dy: 0.089 0.188 0.196
Dy: 0.492 0.688 0.099
Dy: 0.812 0.911 0.304
Dy: 0.107 0.411 0.099
Dy: 0.393 0.992 0.804
Dy: 0.599 0.607 0.411
Dy: 0.901 0.812 0.508
Dy: 0.804 0.312 0.911
Dy: 0.401 0.393 0.589
Dy: 0.099 0.188 0.492
Dy: 0.196 0.688 0.089
Dy: 0.188 0.089 0.696
Dy: 0.607 0.008 0.196
Dy: 0.893 0.589 0.901
Dy: 0.508 0.312 0.901
Dy: 0.589 0.893 0.401
Dy: 0.911 0.812 0.804
Dy: 0.911 0.099 0.607
Dy: 0.893 0.304 0.492
Dy: 0.188 0.099 0.992
Dy: 0.607 0.599 0.911
Dy: 0.401 0.008 0.312
Dy: 0.304 0.411 0.812
Dy: 0.196 0.508 0.607
Dy: 0.901 0.089 0.893
Dy: 0.688 0.196 0.589
Dy: 0.492 0.804 0.893
Dy: 0.008 0.401 0.812
Dy: 0.411 0.304 0.312
Dy: 0.008 0.607 0.696
Dy: 0.688 0.492 0.599
Dy: 0.304 0.893 0.992

Summary:
- Total magnetic moment: 0.01 Bohr magnetons per cell
- Uncorrected formation energy: -1.638 eV/atom
- DFT total energy: -124.791 eV per formula unit

=====

Entry 2:
VASP calculation (PBE-GGA) on an optimized crystal structure of Dy2SnO.

Unit cell a=3.547 b=3.547 c=7.849 alpha=76.94 beta=76.94 gamma=60.00
Sites, in units of the cell vectors:
Sn: 0.500 0.500 0.500
O: 0.000 0.000 0.000
Dy: 0.276 0.276 0.173
Dy: 0.724 0.724 0.827

Summary:
- Total magnetic moment: 0.00 Bohr magnetons per cell
- Uncorrected formation energy: -1.668 eV/atom
- DFT total energy: -24.837 eV per formula unit
- E above lowest polymorph: 219.9 meV per atom

=====

Entry 3:
VASP calculation (PBE-GGA) on an optimized crystal structure of DySnO.

Unit cell a=6.007 b=3.698 c=3.698 alpha=120.00 beta=90.00 gamma=90.00
Last column: magnetic moment on the atom in μB.
Sites, in units of the cell vectors:
Sn: 0.667 0.667 0.333  0.13
O: 0.167 0.333 0.667  0.05
Dy: 0.167 0.000 0.000  0.05

Summary:
- Total magnetic moment: 0.43 Bohr magnetons per cell
- Uncorrected formation energy: -1.785 eV/atom
- DFT total energy: -18.919 eV per formula unit

=====

Entry 4:
VASP calculation (PBE-GGA) on an optimized crystal structure of Dy4Sn2O.

Unit cell a=4.570 b=4.570 c=8.977 alpha=75.26 beta=75.26 gamma=90.00
Sites, in units of the cell vectors:
Sn: 0.639 0.639 0.721
Sn: 0.361 0.361 0.279
O: 0.000 0.000 0.000
Dy: 0.826 0.826 0.347
Dy: 0.174 0.174 0.653
Dy: 0.000 0.500 0.000
Dy: 0.500 0.000 0.000

Summary:
- Total magnetic moment: 0.01 Bohr magnetons per cell
- Uncorrected formation energy: -1.300 eV/atom
- DFT total energy: -40.473 eV per formula unit

=====

Entry 5:
VASP calculation (PBE-GGA) on an optimized crystal structure of Dy3SnO6.

Unit cell a=6.747 b=6.747 c=6.747 alpha=92.80 beta=92.80 gamma=92.80
Sites, in units of the cell vectors:
Dy: 0.440 0.931 0.747
Dy: 0.931 0.747 0.440
Dy: 0.253 0.560 0.069
Dy: 0.747 0.440 0.931
Dy: 0.069 0.253 0.560
Dy: 0.560 0.069 0.253
Sn: 0.000 0.000 0.000
Sn: 0.500 0.500 0.500
O: 0.337 0.885 0.065
O: 0.115 0.935 0.663
O: 0.589 0.800 0.469
O: 0.935 0.663 0.115
O: 0.469 0.589 0.800
O: 0.200 0.531 0.411
O: 0.800 0.469 0.589
O: 0.531 0.411 0.200
O: 0.065 0.337 0.885
O: 0.411 0.200 0.531
O: 0.885 0.065 0.337
O: 0.663 0.115 0.935

Summary:
- Total magnetic moment: 0.00 Bohr magnetons per cell
- Uncorrected formation energy: -3.020 eV/atom
- DFT total energy: -77.755 eV per formula unit

=====

Entry 6:
VASP calculation (PBE-GGA) on an optimized crystal structure of Dy2SnO2.

Unit cell a=3.821 b=3.821 c=7.525 alpha=104.71 beta=104.71 gamma=90.00
Sites, in units of the cell vectors:
Dy: 0.669 0.669 0.338
Dy: 0.331 0.331 0.662
Sn: 0.000 0.000 0.000
O: 0.750 0.250 0.500
O: 0.250 0.750 0.500

Summary:
- Total magnetic moment: 0.00 Bohr magnetons per cell
- Uncorrected formation energy: -2.588 eV/atom
- DFT total energy: -36.062 eV per formula unit

=====

Entry 7:
VASP calculation (PBE-GGA) on an optimized crystal structure of Dy2SnO.

Unit cell a=6.197 b=6.265 c=10.157 alpha=98.81 beta=90.00 gamma=90.00
Sites, in units of the cell vectors:
Dy: 0.762 0.942 0.926
Dy: 0.238 0.058 0.074
Dy: 0.762 0.558 0.574
Dy: 0.238 0.442 0.426
Dy: 0.819 0.459 0.168
Dy: 0.181 0.541 0.832
Dy: 0.819 0.041 0.332
Dy: 0.181 0.959 0.668
Sn: 0.317 0.928 0.367
Sn: 0.683 0.072 0.633
Sn: 0.317 0.572 0.133
Sn: 0.683 0.428 0.867
O: 0.108 0.609 0.623
O: 0.892 0.391 0.377
O: 0.108 0.891 0.877
O: 0.892 0.109 0.123

Summary:
- Total magnetic moment: 0.00 Bohr magnetons per cell
- Uncorrected formation energy: -1.658 eV/atom
- DFT total energy: -24.799 eV per formula unit
- E above lowest polymorph: 229.3 meV per atom

=====

Entry 8:
VASP calculation (PBE-GGA) on an optimized crystal structure of Dy2Sn2O7.

Unit cell a=7.421 b=7.421 c=7.421 alpha=60.00 beta=60.00 gamma=60.00
Sites, in units of the cell vectors:
Dy: 0.125 0.125 0.125
Dy: 0.625 0.125 0.125
Dy: 0.125 0.125 0.625
Dy: 0.125 0.625 0.125
Sn: 0.625 0.625 0.625
Sn: 0.125 0.625 0.625
Sn: 0.625 0.625 0.125
Sn: 0.625 0.125 0.625
O: 0.000 0.000 0.000
O: 0.250 0.250 0.250
O: 0.286 0.286 0.714
O: 0.536 0.536 0.964
O: 0.714 0.286 0.714
O: 0.714 0.286 0.286
O: 0.286 0.714 0.714
O: 0.286 0.714 0.286
O: 0.714 0.714 0.286
O: 0.964 0.536 0.536
O: 0.536 0.964 0.964
O: 0.964 0.964 0.536
O: 0.964 0.536 0.964
O: 0.536 0.964 0.536

Summary:
- Total magnetic moment: 0.00 Bohr magnetons per cell
- Uncorrected formation energy: -2.587 eV/atom
- DFT total energy: -80.370 eV per formula unit

=====

Entry 9:
VASP calculation (PBE-GGA) on an optimized crystal structure of Dy2SnO.

Unit cell a=4.502 b=4.502 c=8.790 alpha=90.02 beta=90.02 gamma=90.00
Sites, in units of the cell vectors:
Dy: 0.750 0.750 0.833
Dy: 0.750 0.250 0.500
Dy: 0.250 0.250 0.167
Dy: 0.250 0.750 0.500
Sn: 0.250 0.250 0.800
Sn: 0.750 0.750 0.200
O: 0.250 0.250 0.426
O: 0.750 0.750 0.574

Summary:
- Total magnetic moment: 0.00 Bohr magnetons per cell
- Uncorrected formation energy: -1.888 eV/atom
- DFT total energy: -25.716 eV per formula unit
- E above lowest polymorph: 0.0 meV per atom

=====

Entry 10:
VASP calculation (PBE-GGA) on an optimized crystal structure of Sr2Dy4Sn3O2.

Unit cell a=4.759 b=4.759 c=13.349 alpha=100.27 beta=100.27 gamma=90.00
Sites, in units of the cell vectors:
Sr: 0.304 0.304 0.608
Sr: 0.696 0.696 0.392
Dy: 0.418 0.918 0.835
Dy: 0.918 0.418 0.835
Dy: 0.082 0.582 0.165
Dy: 0.582 0.082 0.165
Sn: 0.000 0.000 0.000
Sn: 0.167 0.167 0.334
Sn: 0.833 0.833 0.666
O: 0.410 0.410 0.820
O: 0.590 0.590 0.180

Summary:
- Total magnetic moment: 0.00 Bohr magnetons per cell
- Uncorrected formation energy: -1.536 eV/atom
- DFT total energy: -60.588 eV per formula unit

=====

Entry 11:
VASP calculation (PBE-GGA) on an optimized crystal structure of Tb2Dy4Sn3O2.

Unit cell a=4.647 b=4.647 c=12.943 alpha=100.34 beta=100.34 gamma=90.00
Sites, in units of the cell vectors:
Tb: 0.306 0.306 0.612
Tb: 0.694 0.694 0.388
Dy: 0.417 0.917 0.834
Dy: 0.917 0.417 0.834
Dy: 0.083 0.583 0.166
Dy: 0.583 0.083 0.166
Sn: 0.000 0.000 0.000
Sn: 0.178 0.178 0.356
Sn: 0.822 0.822 0.644
O: 0.402 0.402 0.804
O: 0.598 0.598 0.196

Summary:
- Total magnetic moment: 0.00 Bohr magnetons per cell
- Uncorrected formation energy: -1.521 eV/atom
- DFT total energy: -66.329 eV per formula unit

=====

Entry 12:
VASP calculation (PBE-GGA) on an optimized crystal structure of DySnTeO6.

Unit cell a=5.539 b=5.539 c=9.067 alpha=90.00 beta=90.00 gamma=120.00
Sites, in units of the cell vectors:
Dy: 0.333 0.667 0.250
Dy: 0.667 0.333 0.750
Sn: 0.000 0.000 0.000
Sn: 0.000 0.000 0.500
Te: 0.667 0.333 0.250
Te: 0.333 0.667 0.750
O: 0.685 0.655 0.126
O: 0.969 0.315 0.126
O: 0.315 0.969 0.626
O: 0.031 0.685 0.874
O: 0.345 0.315 0.374
O: 0.969 0.655 0.374
O: 0.655 0.969 0.874
O: 0.685 0.031 0.374
O: 0.031 0.345 0.626
O: 0.345 0.031 0.126
O: 0.655 0.685 0.626
O: 0.315 0.345 0.874

Summary:
- Total magnetic moment: 0.00 Bohr magnetons per cell
- Uncorrected formation energy: -1.736 eV/atom
- DFT total energy: -57.123 eV per formula unit

=====

Entry 13:
VASP calculation (PBE-GGA) on an optimized crystal structure of Dy4TlSnO.

Unit cell a=6.477 b=6.467 c=9.038 alpha=90.00 beta=111.00 gamma=90.00
Sites, in units of the cell vectors:
Dy: 0.931 0.250 0.861
Dy: 0.418 0.750 0.836
Dy: 0.069 0.750 0.139
Dy: 0.582 0.250 0.164
Dy: 0.500 0.500 0.500
Dy: 0.000 0.000 0.500
Dy: 0.500 0.000 0.500
Dy: 0.000 0.500 0.500
Tl: 0.112 0.250 0.225
Tl: 0.888 0.750 0.775
Sn: 0.610 0.750 0.221
Sn: 0.390 0.250 0.779
O: 0.272 0.750 0.544
O: 0.728 0.250 0.456

Summary:
- Total magnetic moment: 0.00 Bohr magnetons per cell
- Uncorrected formation energy: -1.181 eV/atom
- DFT total energy: -38.001 eV per formula unit

=====

Entry 14:
VASP calculation (PBE-GGA) on an optimized crystal structure of SrDy2O.

Unit cell a=3.588 b=3.588 c=9.736 alpha=79.38 beta=79.38 gamma=60.00
Sites, in units of the cell vectors:
Sr: 0.000 0.000 0.000
O: 0.500 0.500 0.500
Dy: 0.122 0.122 0.635
Dy: 0.878 0.878 0.365

Summary:
- Total magnetic moment: 0.00 Bohr magnetons per cell
- Uncorrected formation energy: -1.138 eV/atom
- DFT total energy: -20.397 eV per formula unit

=====

Entry 15:
VASP calculation (PBE-GGA) on an optimized crystal structure of SrDyO2.

Unit cell a=3.623 b=3.623 c=7.224 alpha=75.48 beta=75.48 gamma=60.00
Last column: magnetic moment on the atom in μB.
Sites, in units of the cell vectors:
Sr: 0.000 0.000 0.000  0.11
O: 0.115 0.115 0.655  0.00
O: 0.885 0.885 0.345  0.00
Dy: 0.500 0.500 0.500  0.01

Summary:
- Total magnetic moment: 0.40 Bohr magnetons per cell
- Uncorrected formation energy: -2.685 eV/atom
- DFT total energy: -26.939 eV per formula unit
- E above lowest polymorph: 0.0 meV per atom

=====

Entry 16:
VASP calculation (PBE-GGA) on an optimized crystal structure of Sr2DyO3.

Unit cell a=5.044 b=7.096 c=6.226 alpha=106.50 beta=113.90 gamma=90.00
Sites, in units of the cell vectors:
Sr: 0.668 0.584 0.336
Sr: 0.668 0.084 0.336
Sr: 0.332 0.916 0.664
Sr: 0.332 0.416 0.664
Dy: 0.000 0.750 0.000
Dy: 0.000 0.250 0.000
O: 0.500 0.250 0.000
O: 0.500 0.750 0.000
O: 0.146 0.073 0.291
O: 0.854 0.427 0.709
O: 0.146 0.573 0.291
O: 0.854 0.927 0.709

Summary:
- Total magnetic moment: 0.00 Bohr magnetons per cell
- Uncorrected formation energy: -2.728 eV/atom
- DFT total energy: -39.206 eV per formula unit

=====

Entry 17:
VASP calculation (PBE-GGA) on an optimized crystal structure of SrDyO2.

Unit cell a=3.489 b=3.489 c=6.527 alpha=74.50 beta=74.50 gamma=60.00
Last column: magnetic moment on the atom in μB.
Sites, in units of the cell vectors:
Sr: 0.495 0.495 0.515  0.18
Dy: 0.670 0.670 0.990  0.10
O: 0.067 0.067 0.800  0.00
O: 0.268 0.268 0.195  0.01

Summary:
- Total magnetic moment: 0.69 Bohr magnetons per cell
- Uncorrected formation energy: -2.652 eV/atom
- DFT total energy: -26.808 eV per formula unit
- E above lowest polymorph: 32.7 meV per atom

=====

Entry 18:
VASP calculation (PBE-GGA) on an optimized crystal structure of Sr2DyTaO6.

Unit cell a=5.847 b=5.940 c=8.317 alpha=90.00 beta=90.20 gamma=90.00
Sites, in units of the cell vectors:
Sr: 0.009 0.963 0.251
Sr: 0.509 0.537 0.751
Sr: 0.991 0.037 0.749
Sr: 0.491 0.463 0.249
Dy: 0.500 0.000 0.000
Dy: 0.000 0.500 0.500
Ta: 0.500 0.000 0.500
Ta: 0.000 0.500 0.000
O: 0.274 0.697 0.041
O: 0.774 0.803 0.541
O: 0.726 0.303 0.959
O: 0.226 0.197 0.459
O: 0.305 0.726 0.454
O: 0.805 0.774 0.954
O: 0.695 0.274 0.546
O: 0.195 0.226 0.046
O: 0.918 0.525 0.235
O: 0.418 0.975 0.735
O: 0.082 0.475 0.765
O: 0.582 0.025 0.265

Summary:
- Total magnetic moment: 0.00 Bohr magnetons per cell
- Uncorrected formation energy: -3.186 eV/atom
- DFT total energy: -81.429 eV per formula unit